{
  "formula": "Na2HfSe4",
  "functional": "GGA-PBE",
  "state": "relaxed",
  "cell": [[5.258, 0.000, 0.000], [0.000, 5.258, 0.000], [2.629, 2.629, 7.320]],
  "species": ["Na", "Se", "Hf", "Se", "Se", "Se", "Na"],
  "fractional_positions": [[0.372, 0.372, 0.256], [0.824, 0.824, 0.352], [0.000, 0.000, 0.000], [0.500, 0.000, 0.000], [0.176, 0.176, 0.648], [0.000, 0.500, 0.000], [0.628, 0.628, 0.744]],
  "vol_a3_per_cell": 202,
  "total_energy_ev_per_atom": -4.61,
  "formation_energy_uncorrected_ev_per_atom": -0.817,
  "dos_ef_per_ev_cell": 7.14,
  "spacegroup": "I4/mmm, No. 139"
}